Below is an optimized crystal structure of TlBi2Au, with properties calculated at the PBE-GGA level.

Summary:
- Symmetry: P4/mmm, No. 123
- Total energy: -3.247 eV/atom
- Calculated volume: 111 Å³/cell

Unit cell a=4.827 b=4.827 c=4.769 alpha=90.00 beta=90.00 gamma=90.00
Fractional coordinates of all 4 atoms:
1 Tl 0.000 0.000 0.000
2 Bi 0.000 0.500 0.500
3 Bi 0.500 0.000 0.500
4 Au 0.500 0.500 0.000